Entry 1:
First-principles (PBE-GGA) data for an optimized crystal structure of Cs2NbRuCl6, as listed in Alexandria via LeMat-Bulk.

Computed properties:
raw formation energy	-1042	meV per atom
total moment	0.300	μB per atom
Fermi-level density of states	10.486	states/eV per cell
space-group type	I4/mmm

abc: 7.2062 7.2062 7.2062
angles: 119.61 119.61 90.67
Fractional coordinates of all 10 atoms:
Cs 0.2500 0.7500 0.5000
Cs 0.7500 0.2500 0.5000
Nb 0.0000 0.0000 0.0000
Ru 0.5000 0.5000 0.0000
Cl 0.2479 0.2479 0.4958
Cl 0.2479 0.7521 0.0000
Cl 0.2504 0.2504 0.0000
Cl 0.7496 0.7496 0.0000
Cl 0.7521 0.2479 0.0000
Cl 0.7521 0.7521 0.5042


Entry 2:
First-principles (PBE-GGA) data for an optimized crystal structure of Cs2NbSCl6, as listed in Alexandria via LeMat-Bulk.

Computed properties:
raw formation energy	-1175	meV per atom
total moment	0.237	μB per atom
Fermi-level density of states	13.726	states/eV per cell
space-group type	I4/mmm

abc: 8.0984 8.0984 8.0984
angles: 122.48 122.48 85.76
Fractional coordinates of all 10 atoms:
Cs 0.2500 0.7500 0.5000
Cs 0.7500 0.2500 0.5000
Nb 0.0000 0.0000 0.0000
S 0.5000 0.5000 0.0000
Cl 0.2047 0.2047 0.0000
Cl 0.2198 0.2198 0.4395
Cl 0.2198 0.7802 0.0000
Cl 0.7802 0.2198 0.0000
Cl 0.7802 0.7802 0.5605
Cl 0.7953 0.7953 0.0000


Entry 3:
First-principles (PBE-GGA) data for an optimized crystal structure of CsNbS2Cl, as listed in Alexandria via LeMat-Bulk.

Computed properties:
raw formation energy	-1087	meV per atom
total moment	0.115	μB per atom
Fermi-level density of states	1.844	states/eV per cell
space-group type	P4/mmm
relative energy among the computed polymorphs	0	meV/atom

abc: 4.8937 4.8937 5.2645
angles: 90.00 90.00 90.00
Fractional coordinates of all 5 atoms:
Cs 0.0000 0.0000 0.0000
Nb 0.5000 0.5000 0.5000
S 0.0000 0.5000 0.5000
S 0.5000 0.0000 0.5000
Cl 0.5000 0.5000 0.0000


These records have uncorrected energy values of -42.55; -38.73; -26.46 eV per formula unit, in the order they appear.
These records have density values of 4.196; 2.780; 4.286 Mg/m³, in the order they appear.